Entry 1:
VASP calculation (GGA-PBE) on a geometry-optimized Pr2GePt5 structure.

Cell lengths 6.633, 5.752, 6.332 Å; angles 117.01, 121.55, 90.00 degrees
Fractional positions:
Pr 0.787 0.287 0.573
Pr 0.247 0.747 0.494
Pt 0.300 0.269 0.021
Pt 0.717 0.717 0.435
Pt 0.721 0.752 0.021
Pt 0.300 0.752 0.021
Pt 0.721 0.269 0.021
Ge 0.984 0.984 0.968

**Final energy**: -6.411 eV per atom
**Total magnetic moment**: 0.0 μB per cell
**N(E_F)**: 2.89 states/eV per cell
**Calculated formation energy**: -0.86 eV per atom

***

Entry 2:
VASP calculation (GGA-PBE) on a geometry-optimized Ac3InRh structure.

Cell lengths 5.741, 5.741, 5.741 Å; angles 90.00, 90.00, 90.00 degrees
Fractional positions:
In 0.500 0.500 0.500
Ac 0.000 0.000 0.500
Ac 0.000 0.500 0.000
Ac 0.500 0.000 0.000
Rh 0.000 0.000 0.000

**Final energy**: -4.870 eV per atom
**Total magnetic moment**: 0.0 μB per cell
**N(E_F)**: 5.95 states/eV per cell
**Calculated formation energy**: -0.39 eV per atom

***

Entry 3:
VASP calculation (GGA-PBE) on a geometry-optimized Li4CaNp3O12 structure.

Cell lengths 6.977, 6.977, 6.977 Å; angles 106.61, 106.61, 106.61 degrees
Fractional positions:
O 0.344 0.964 0.244
O 0.335 0.665 0.500
O 0.036 0.656 0.756
O 0.244 0.344 0.964
O 0.964 0.244 0.344
O 0.656 0.756 0.036
O 0.500 0.108 0.892
O 0.108 0.892 0.500
O 0.892 0.500 0.108
O 0.500 0.335 0.665
O 0.665 0.500 0.335
O 0.756 0.036 0.656
Np 0.445 0.000 0.555
Np 0.000 0.555 0.445
Np 0.555 0.445 0.000
Ca 0.000 0.000 0.000
Li 0.500 0.938 0.062
Li 0.062 0.500 0.938
Li 0.938 0.062 0.500
Li 0.500 0.500 0.500

**Final energy**: -7.941 eV per atom
**Total magnetic moment**: 3.0 μB per cell
**N(E_F)**: 1.41 states/eV per cell

***

Entry 4:
VASP calculation (GGA-PBE) on a geometry-optimized CeTcW2C4 structure.

Cell lengths 3.257, 5.871, 10.885 Å; angles 90.00, 90.00, 106.10 degrees
Fractional positions:
Tc 0.166 0.331 0.250
Tc 0.834 0.669 0.750
C 0.730 0.459 0.892
C 0.000 0.000 0.000
C 0.270 0.541 0.108
C 0.564 0.128 0.250
C 0.436 0.872 0.750
C 0.730 0.459 0.608
C 0.270 0.541 0.392
C 0.000 0.000 0.500
W 0.379 0.757 0.538
W 0.621 0.243 0.038
W 0.379 0.757 0.962
W 0.621 0.243 0.462
Ce 0.097 0.195 0.750
Ce 0.903 0.805 0.250

**Final energy**: -9.796 eV per atom
**Total magnetic moment**: 0.0 μB per cell
**N(E_F)**: 8.06 states/eV per cell
**Calculated formation energy**: 0.09 eV per atom

***

Entry 5:
VASP calculation (GGA-PBE) on a geometry-optimized NaAcTeS structure.

Cell lengths 4.858, 4.858, 10.771 Å; angles 90.00, 90.00, 90.00 degrees
Fractional positions:
Te 0.500 0.000 0.685
Te 0.000 0.500 0.315
Na 0.500 0.500 0.500
Na 0.000 0.000 0.500
S 0.500 0.500 0.000
S 0.000 0.000 0.000
Ac 0.000 0.500 0.853
Ac 0.500 0.000 0.147

**Final energy**: -4.696 eV per atom
**Total magnetic moment**: 0.0 μB per cell
**N(E_F)**: 0.00 states/eV per cell

***

Entry 6:
VASP calculation (GGA-PBE) on a geometry-optimized Li2NbAl2 structure.

Cell lengths 3.591, 3.591, 6.857 Å; angles 74.82, 74.82, 90.00 degrees
Fractional positions:
Nb 0.000 0.000 0.000
Al 0.404 0.404 0.193
Al 0.596 0.596 0.807
Li 0.250 0.750 0.500
Li 0.750 0.250 0.500

**Final energy**: -4.253 eV per atom
**Total magnetic moment**: 0.0 μB per cell
**N(E_F)**: 2.35 states/eV per cell
**Calculated formation energy**: 0.02 eV per atom